Here is an optimized crystal structure of KFeIr from the Alexandria database. Energies are from PBE.

The structure belongs to space group P-1 (No. 2); the cell edges are 4.046, 4.612 and 10.738 Å and the angles 98.98°, 90.73° and 116.02°. The asymmetric unit holds K at (0.166, 0.352, 0.197), Fe at (0.079, 0.151, 0.595) and Ir at (0.350, 0.699, 0.516).

The energy above the lowest structure with this stoichiometry comes out at 3.24 kJ per mole of atoms. The energy of formation comes out at 0.38 eV per atom. As for the volume: 29.5 Å³ per atom. For the total magnetization, the calculation gives 0.883 μB/atom. Its density of states at the Fermi level is 6.2 states/eV per cell.